Entry from the Alexandria database: an optimized crystal structure of Li2Mg2W3O12 (PBE+U).

Structure (extended XYZ):
```
76
Lattice="10.6655 0.0000 0.0000 0.0000 5.2089 0.0000 -10.5594 0.0000 17.8257" Properties=species:S:1:pos:R:3 pbc="T T T"
Li 0.0000 0.0560 0.0000
Li -5.2797 5.1529 8.9129
Li -5.3811 2.4310 10.7260
Li -0.1014 2.7779 1.8131
Li -7.1195 2.4949 13.6942
Li -1.8397 2.7140 4.7813
Li 5.2629 0.7884 0.8603
Li -0.0168 4.4205 9.7732
Mg -3.4229 0.0670 5.8411
Mg -8.7026 5.1419 14.7540
Mg -3.4062 2.5953 13.8501
Mg 1.8735 2.6136 4.9372
Mg 0.0010 1.8144 9.8350
Mg 5.2807 3.3945 0.9221
Mg 3.4874 0.0357 5.9208
Mg -1.7923 5.1732 14.8336
W -8.2313 2.4369 17.0793
W -2.9516 2.7720 8.1664
W -0.0018 0.2022 6.3871
W -5.2815 5.0067 15.3000
W -2.9427 0.1426 11.5190
W 2.3370 5.0662 2.6062
W -2.2514 2.4586 17.1911
W 5.3537 2.4749 4.3668
W 0.0740 2.7340 13.2797
W 3.0283 2.7502 8.2783
W 8.1947 0.0450 2.4909
W 2.9150 5.1639 11.4038
O -6.7242 1.3245 11.9657
O -1.4445 3.8843 3.0528
O -9.1098 0.9272 16.5241
O -3.8300 4.2817 7.6112
O -2.5795 1.7373 6.7085
O -7.8592 3.4716 15.6214
O -4.0067 1.7589 9.2115
O 1.2730 3.4500 0.2987
O -6.7426 0.7897 14.8960
O -1.4629 4.4192 5.9831
O 1.2328 0.8518 1.6053
O -4.0469 4.3570 10.5181
O 0.0631 1.6673 5.2928
O -5.2167 3.5416 14.2056
O -3.8191 1.6333 12.0967
O 1.4606 3.5756 3.1838
O 3.8864 2.0964 0.1302
O -1.3933 3.1125 9.0431
O -0.0123 0.5971 8.1476
O -5.2920 4.6118 17.0605
O -1.4192 0.5358 10.6179
O 3.8605 4.6731 1.7050
O -3.8097 0.8399 14.9406
O 1.4700 4.3689 6.0277
O 2.7662 0.8932 4.0888
O -2.5135 4.3157 13.0017
O 2.6168 1.7682 6.7462
O -2.6630 3.4407 15.6590
O -1.4032 1.7205 13.6716
O 3.8765 3.4884 4.7587
O 6.6838 2.1271 0.1160
O 1.4041 3.0818 9.0289
O 5.2916 2.1368 2.5965
O 0.0118 3.0721 11.5094
O 1.3822 0.5138 10.6084
O 6.6619 4.6951 1.6955
O -1.3367 1.0231 16.5019
O 3.9431 4.1858 7.5890
O 5.3294 0.9934 5.4945
O 0.0496 4.2155 14.4074
O 4.0072 1.5277 9.1677
O 9.2870 3.6812 0.2548
O 1.4436 1.6247 13.6561
O 6.7233 3.5842 4.7433
O 9.0973 1.1968 1.3898
O 3.8176 4.0121 10.3027
O 7.7379 1.0072 3.9986
O 2.4582 4.2017 12.9115
```

Properties
size of the total moment	0.000	μB/atom
E	-130.0	eV per formula unit